Material: Ni2IrS2
Method: DFT, PBE
State: optimized geometry

Geometry as POSCAR:
```
Ni2IrS2
1.0
-1.6565 1.6565 6.1111
1.6565 -1.6565 6.1111
1.6565 1.6565 -6.1111
Ni Ir S
2 1 2
direct
0.2500 0.7500 0.5000 Ni
0.7500 0.2500 0.5000 Ni
0.0000 0.0000 0.0000 Ir
0.3826 0.3826 0.0000 S
0.6174 0.6174 0.0000 S
```

Formation energy (no corrections), meV/atom: 416

Material: Ce4SbPbO
Method: DFT, PBE
State: optimized geometry

Geometry as POSCAR:
```
Ce4SbPbO
1.0
3.3557 -8.3883 0.0000
3.3557 8.3883 0.0000
0.0000 0.0000 6.7071
Ce Sb Pb O
8 2 2 2
direct
0.0000 0.5000 0.0000 Ce
0.0000 0.5000 0.5000 Ce
0.0841 0.9159 0.7500 Ce
0.4120 0.5880 0.7500 Ce
0.5000 0.0000 0.0000 Ce
0.5000 0.0000 0.5000 Ce
0.5880 0.4120 0.2500 Ce
0.9159 0.0841 0.2500 Ce
0.1100 0.8900 0.2500 Sb
0.8900 0.1100 0.7500 Sb
0.3942 0.6058 0.2500 Pb
0.6058 0.3942 0.7500 Pb
0.2481 0.7519 0.7500 O
0.7519 0.2481 0.2500 O
```

Formation energy (no corrections), meV/atom: -1213

Material: CrReTeN2
Method: DFT, PBE
State: optimized geometry

Geometry as POSCAR:
```
CrReTeN2
1.0
3.7943 0.0000 0.0000
0.0000 3.7943 0.0000
0.0000 0.0000 5.5854
Cr Re Te N
1 1 1 2
direct
0.0000 0.0000 0.0000 Cr
0.5000 0.5000 0.5000 Re
0.0000 0.0000 0.5000 Te
0.0000 0.5000 0.0000 N
0.5000 0.0000 0.0000 N
```

Formation energy (no corrections), meV/atom: 1305

Material: Be2RuW
Method: DFT, PBE
State: optimized geometry

Geometry as POSCAR:
```
Be2RuW
1.0
2.8714 0.0000 0.0000
0.0000 2.8714 0.0000
0.0000 0.0000 5.7869
Be Ru W
2 1 1
direct
0.0000 0.0000 0.0000 Be
0.5000 0.5000 0.1956 Be
0.0000 0.0000 0.4249 Ru
0.5000 0.5000 0.7113 W
```

Formation enthalpy at 0 K, eV per atom: -0.02

Material: YCd2SiBi
Method: DFT, PBE
State: optimized geometry

Geometry as POSCAR:
```
YCd2SiBi
1.0
5.5311 0.0000 0.0000
0.0000 5.5311 0.0000
0.0000 0.0000 5.4730
Y Cd Si Bi
1 2 1 1
direct
0.0000 0.0000 0.0000 Y
0.0000 0.5000 0.5000 Cd
0.5000 0.0000 0.5000 Cd
0.5000 0.5000 0.0000 Si
0.5000 0.5000 0.5000 Bi
```

Formation energy (no corrections), meV/atom: 736

Material: HPdPb3
Method: DFT, PBE
State: optimized geometry

Geometry as POSCAR:
```
HPdPb3
1.0
5.0323 -2.9997 0.0000
5.0323 2.9997 0.0000
-0.5051 0.0000 7.3662
H Pd Pb
2 2 6
direct
0.2174 0.2174 0.1047 H
0.7826 0.7826 0.8953 H
0.2498 0.7502 0.5000 Pd
0.7502 0.2498 0.5000 Pd
0.0989 0.0989 0.8275 Pb
0.2443 0.2443 0.3749 Pb
0.4187 0.4187 0.8116 Pb
0.5813 0.5813 0.1884 Pb
0.7557 0.7557 0.6251 Pb
0.9011 0.9011 0.1725 Pb
```

Material: La2TmTl
Method: DFT, PBE
State: optimized geometry

Geometry as POSCAR:
```
La2TmTl
1.0
0.0000 3.9993 3.9993
3.9993 0.0000 3.9993
3.9993 3.9993 0.0000
La Tm Tl
2 1 1
direct
0.2500 0.2500 0.2500 La
0.7500 0.7500 0.7500 La
0.0000 0.0000 0.0000 Tm
0.5000 0.5000 0.5000 Tl
```

Formation enthalpy at 0 K, eV per atom: -0.10

Material: La2MnCu
Method: DFT, PBE
State: optimized geometry

Geometry as POSCAR:
```
La2MnCu
1.0
0.0000 3.5376 3.5376
3.5376 0.0000 3.5376
3.5376 3.5376 0.0000
La Mn Cu
2 1 1
direct
0.0000 0.0000 0.0000 La
0.2500 0.2500 0.2500 La
0.7500 0.7500 0.7500 Mn
0.5000 0.5000 0.5000 Cu
```

Formation enthalpy at 0 K, eV per atom: 0.22

Material: Ce3Si6Pd20
Method: DFT, PBE
State: optimized geometry

Geometry as POSCAR:
```
Ce3Si6Pd20
1.0
0.0000 6.1872 6.1872
6.1872 0.0000 6.1872
6.1872 6.1872 0.0000
Ce Si Pd
3 6 20
direct
0.0000 0.0000 0.0000 Ce
0.2500 0.2500 0.2500 Ce
0.7500 0.7500 0.7500 Ce
0.2677 0.2677 0.7323 Si
0.2677 0.7323 0.2677 Si
0.2677 0.7323 0.7323 Si
0.7323 0.2677 0.2677 Si
0.7323 0.2677 0.7323 Si
0.7323 0.7323 0.2677 Si
0.0000 0.0000 0.3461 Pd
0.0000 0.0000 0.6539 Pd
0.0000 0.3461 0.0000 Pd
0.0000 0.3461 0.6539 Pd
0.0000 0.6539 0.0000 Pd
0.0000 0.6539 0.3461 Pd
0.1520 0.6160 0.6160 Pd
0.3461 0.0000 0.0000 Pd
0.3461 0.0000 0.6539 Pd
0.3461 0.6539 0.0000 Pd
0.3840 0.3840 0.3840 Pd
0.3840 0.3840 0.8480 Pd
0.3840 0.8480 0.3840 Pd
0.6160 0.1520 0.6160 Pd
0.6160 0.6160 0.1520 Pd
0.6160 0.6160 0.6160 Pd
0.6539 0.0000 0.0000 Pd
0.6539 0.0000 0.3461 Pd
0.6539 0.3461 0.0000 Pd
0.8480 0.3840 0.3840 Pd
```

Formation energy (no corrections), meV/atom: -774

Material: LiThMgTl2
Method: DFT, PBE
State: optimized geometry

Geometry as POSCAR:
```
LiThMgTl2
1.0
5.8853 0.0000 0.0000
0.0000 6.6632 0.0000
0.0000 0.0000 6.3815
Li Th Mg Tl
2 2 2 4
direct
0.0000 0.0000 0.0000 Li
0.5000 0.0000 0.0000 Li
0.2500 0.5000 0.2276 Th
0.7500 0.5000 0.7724 Th
0.2500 0.0000 0.3748 Mg
0.7500 0.0000 0.6252 Mg
0.2500 0.2649 0.7403 Tl
0.2500 0.7351 0.7403 Tl
0.7500 0.2649 0.2597 Tl
0.7500 0.7351 0.2597 Tl
```

Formation enthalpy at 0 K, eV per atom: -0.04

Material: Ce2TlSe
Method: DFT, PBE
State: optimized geometry

Geometry as POSCAR:
```
Ce2TlSe
1.0
3.5845 0.0000 0.0000
0.0000 3.5845 0.0000
0.0000 0.0000 8.2444
Ce Tl Se
2 1 1
direct
0.0000 0.0000 0.2222 Ce
0.0000 0.0000 0.7778 Ce
0.5000 0.5000 0.5000 Tl
0.5000 0.5000 0.0000 Se
```

Formation energy (no corrections), meV/atom: -876

Material: SrTa2P
Method: DFT, PBE
State: optimized geometry

Geometry as POSCAR:
```
SrTa2P
1.0
3.7384 0.0000 0.0000
0.0000 4.4387 0.0000
0.0000 0.0000 4.9640
Sr Ta P
1 2 1
direct
0.0000 0.0000 0.0000 Sr
0.0000 0.5000 0.5000 Ta
0.5000 0.0000 0.5000 Ta
0.5000 0.5000 0.0000 P
```

Formation enthalpy at 0 K, eV per atom: 0.63

Material: NdCuO3
Method: DFT, PBE
State: optimized geometry

Geometry as POSCAR:
```
NdCuO3
1.0
3.9633 0.0000 0.0000
0.0000 12.6337 0.0000
0.0000 0.0000 5.4271
Nd Cu O
4 4 12
direct
0.2428 0.0841 0.2500 Nd
0.2428 0.4159 0.7500 Nd
0.7572 0.5841 0.2500 Nd
0.7572 0.9159 0.7500 Nd
0.4066 0.6739 0.7500 Cu
0.4066 0.8261 0.2500 Cu
0.5934 0.1739 0.7500 Cu
0.5934 0.3261 0.2500 Cu
0.2452 0.5829 0.5142 O
0.2452 0.5829 0.9858 O
0.2452 0.9171 0.0142 O
0.2452 0.9171 0.4858 O
0.3666 0.2500 0.0000 O
0.3666 0.2500 0.5000 O
0.6334 0.7500 0.0000 O
0.6334 0.7500 0.5000 O
0.7548 0.0829 0.5142 O
0.7548 0.0829 0.9858 O
0.7548 0.4171 0.0142 O
0.7548 0.4171 0.4858 O
```

Formation energy (no corrections), meV/atom: -1992

Number 1: final energy -5.32 eV/atom, total magnetization 0.00 μB per atom. Number 2: final energy -6.43 eV/atom, total magnetization 0.51 μB per atom. Number 3: final energy -7.07 eV/atom, total magnetization 0.68 μB per atom. Number 4: final energy -7.44 eV/atom, total magnetization 0.00 μB per atom. Number 5: final energy -2.78 eV/atom, total magnetization 0.00 μB per atom. Number 6: final energy -3.89 eV/atom, total magnetization 0.00 μB per atom. Number 7: final energy -4.27 eV/atom, total magnetization 0.15 μB per atom. Number 8: final energy -5.56 eV/atom, total magnetization 0.88 μB per atom. Number 9: final energy -6.09 eV/atom, total magnetization 0.06 μB per atom. Number 10: final energy -3.17 eV/atom, total magnetization 0.00 μB per atom. Number 11: final energy -5.31 eV/atom, total magnetization 0.68 μB per atom. Number 12: final energy -7.07 eV/atom, total magnetization 0.00 μB per atom. Number 13: final energy -6.74 eV/atom, total magnetization 0.00 μB per atom.